No. 1
The following is a DFT calculation (GGA-PBE) of an optimized crystal structure of Pm5Nd8Y.

As for the space group: I-4 (82).

Lattice parameters (Å, degrees): 8.6575 8.6575 8.6575 110.88 110.88 106.68
Positions (direct):
Pm (0.0000, 0.0000, 0.0000)
Pm (0.2168, 0.3184, 0.6846)
Pm (0.4678, 0.7832, 0.1015)
Pm (0.6338, 0.5322, 0.3154)
Pm (0.6816, 0.3662, 0.8985)
Nd (0.1612, 0.4265, 0.0968)
Nd (0.3298, 0.0645, 0.9032)
Nd (0.4228, 0.1664, 0.3963)
Nd (0.5735, 0.6702, 0.7347)
Nd (0.7701, 0.0265, 0.6037)
Nd (0.8336, 0.2299, 0.2564)
Nd (0.9355, 0.8388, 0.2653)
Nd (0.9735, 0.5772, 0.7436)
Y (0.2500, 0.7500, 0.5000)

No. 2
The following is a DFT calculation (GGA-PBE) of an optimized crystal structure of Pm2Nd3Y8.

As for the space group: C2/m (12).

Lattice parameters (Å, degrees): 10.9263 10.9263 5.7099 90.06 90.06 41.45
Positions (direct):
Pm (0.2416, 0.2416, 0.4982)
Pm (0.7584, 0.7584, 0.5018)
Nd (0.0000, 0.0000, 0.5000)
Nd (0.2913, 0.7087, 0.0000)
Nd (0.7087, 0.2913, 0.0000)
Y (0.1337, 0.1337, 0.9994)
Y (0.1826, 0.6025, 0.4996)
Y (0.3304, 0.3304, 0.9986)
Y (0.3975, 0.8174, 0.5004)
Y (0.6025, 0.1826, 0.4996)
Y (0.6696, 0.6696, 0.0014)
Y (0.8174, 0.3975, 0.5004)
Y (0.8663, 0.8663, 0.0006)

No. 3
The following is a DFT calculation (GGA-PBE) of an optimized crystal structure of Pm5Nd3Y3.

As for the space group: P-62m (189).

Lattice parameters (Å, degrees): 9.7150 9.7150 5.5992 90.00 90.00 120.00
Positions (direct):
Pm (0.0000, 0.3817, 0.0000)
Pm (0.3333, 0.6667, 0.0000)
Pm (0.3817, 0.0000, 0.0000)
Pm (0.6183, 0.6183, 0.0000)
Pm (0.6667, 0.3333, 0.0000)
Nd (0.0000, 0.5883, 0.5000)
Nd (0.4117, 0.4117, 0.5000)
Nd (0.5883, 0.0000, 0.5000)
Y (0.0000, 0.7520, 0.0000)
Y (0.2480, 0.2480, 0.0000)
Y (0.7520, 0.0000, 0.0000)

Formation energy / eV/atom: 0.236 0.248 0.754